No. 1
{
  "formula": "BaGdSn",
  "functional": "PBE-GGA",
  "state": "relaxed",
  "lattice_angstrom": [[0.000, 3.900, 3.900], [3.900, 0.000, 3.900], [3.900, 3.900, 0.000]],
  "species": ["Ba", "Gd", "Sn"],
  "fractional_positions": [[0.000, 0.000, 0.000], [0.250, 0.250, 0.250], [0.750, 0.750, 0.750]],
  "energy_ev_per_cell": -9.53
}

No. 2
{
  "formula": "BaSrGd",
  "functional": "PBE-GGA",
  "state": "relaxed",
  "lattice_angstrom": [[1.186, -5.872, 1.145], [0.836, -1.878, 5.742], [-4.205, -3.488, 2.710]],
  "species": ["Ba", "Sr", "Gd"],
  "fractional_positions": [[0.000, 0.000, 0.000], [0.750, 0.750, 0.750], [0.250, 0.250, 0.250]],
  "energy_ev_per_cell": -5.79
}

No. 3
{
  "formula": "BaGdTh",
  "functional": "PBE-GGA",
  "state": "relaxed",
  "lattice_angstrom": [[0.000, 4.052, 4.052], [4.052, 0.000, 4.052], [4.052, 4.052, 0.000]],
  "species": ["Gd", "Ba", "Th"],
  "fractional_positions": [[0.000, 0.000, 0.000], [0.250, 0.250, 0.250], [0.750, 0.750, 0.750]],
  "energy_ev_per_cell": -11.09
}

No. 4
{
  "formula": "BaGdW",
  "functional": "PBE-GGA",
  "state": "relaxed",
  "lattice_angstrom": [[3.205, -3.364, 2.187], [1.115, 0.392, 4.997], [-1.804, -3.483, 3.314]],
  "species": ["Gd", "Ba", "W"],
  "fractional_positions": [[0.250, 0.250, 0.250], [0.000, 0.000, 0.000], [0.750, 0.750, 0.750]],
  "energy_ev_per_cell": -13.60
}

No. 5
{
  "formula": "BaGdY",
  "functional": "PBE-GGA",
  "state": "relaxed",
  "lattice_angstrom": [[-5.251, -2.043, 1.493], [-3.756, 3.425, 2.853], [-4.772, 1.977, -2.701]],
  "species": ["Ba", "Y", "Gd"],
  "fractional_positions": [[0.250, 0.250, 0.250], [0.000, 0.000, 0.000], [0.750, 0.750, 0.750]],
  "energy_ev_per_cell": -10.54
}

No. 6
{
  "formula": "BaGdZr",
  "functional": "PBE-GGA",
  "state": "relaxed",
  "lattice_angstrom": [[-1.327, -4.327, 3.227], [-0.709, 0.723, 5.465], [-5.085, -0.359, 2.214]],
  "species": ["Ba", "Zr", "Gd"],
  "fractional_positions": [[0.250, 0.250, 0.250], [0.000, 0.000, 0.000], [0.750, 0.750, 0.750]],
  "energy_ev_per_cell": -12.07
}